No. 1
A plane-wave DFT calculation with PBE-GGA was carried out for a geometry-optimized Tm2ZrTcN structure.

```
data_Tm2ZrTcN
_cell_length_a 4.625
_cell_length_b 4.625
_cell_length_c 4.433
_cell_angle_alpha 90.00
_cell_angle_beta 90.00
_cell_angle_gamma 90.00
_symmetry_space_group_name_H-M 'P 4/m m m'
_symmetry_Int_Tables_number 123
_symmetry_space_group_name_Hall '-P 4 2'
loop_
_atom_site_label
_atom_site_fract_x
_atom_site_fract_y
_atom_site_fract_z
_atom_site_occupancy
Tm1 0.000 0.500 0.000 1
Zr1 0.000 0.000 0.500 1
Tc1 0.500 0.500 0.500 1
N1 0.000 0.000 0.000 1
```

ΔE_f (raw) in meV/atom: -586
DOS at the Fermi energy in states/eV/atom: 0.606


No. 2
A plane-wave DFT calculation with PBE-GGA was carried out for a geometry-optimized Nd6S5N structure.

```
data_Nd6S5N
_cell_length_a 6.922
_cell_length_b 12.026
_cell_length_c 6.966
_cell_angle_alpha 90.00
_cell_angle_beta 109.38
_cell_angle_gamma 90.00
_symmetry_space_group_name_H-M 'C 1 2/m 1'
_symmetry_Int_Tables_number 12
_symmetry_space_group_name_Hall '-C 2y'
loop_
_atom_site_label
_atom_site_fract_x
_atom_site_fract_y
_atom_site_fract_z
_atom_site_occupancy
Nd1 0.230 0.154 0.228 1
Nd2 0.232 0.000 0.769 1
S1 0.000 0.172 0.500 1
S2 0.000 0.333 0.000 1
S3 0.000 0.500 0.500 1
N1 0.000 0.000 0.000 1
```

ΔE_f (raw) in meV/atom: -1906
DOS at the Fermi energy in states/eV/atom: 0.331


No. 3
A plane-wave DFT calculation with PBE-GGA was carried out for a geometry-optimized LaHfAu structure.

```
data_LaHfAu
_cell_length_a 7.152
_cell_length_b 3.446
_cell_length_c 11.806
_cell_angle_alpha 90.00
_cell_angle_beta 90.00
_cell_angle_gamma 90.00
_symmetry_space_group_name_H-M 'P n m a'
_symmetry_Int_Tables_number 62
_symmetry_space_group_name_Hall '-P 2ac 2n'
loop_
_atom_site_label
_atom_site_fract_x
_atom_site_fract_y
_atom_site_fract_z
_atom_site_occupancy
La1 0.134 0.250 0.086 1
Hf1 0.087 0.250 0.398 1
Au1 0.153 0.250 0.774 1
```

DOS at the Fermi energy in states/eV/atom: 1.327
ΔE_f in eV per atom: -0.293
Offset from the most stable computed form in eV per atom: 0.112


Look up the DOS at the Fermi energy of the first one. 0.606 states/eV/atom